Density functional theory data (PBE-GGA) for a geometry-optimized TbPmHoAg structure.

```
data_TbPmHoAg
_space_group_name_H-M_alt 'P 4 m m'
_space_group_IT_number 99
_space_group_name_Hall 'P 4 -2'
_cell_length_a 3.612
_cell_length_b 3.612
_cell_length_c 8.796
_cell_angle_alpha 90.00
_cell_angle_beta 90.00
_cell_angle_gamma 90.00
loop_
_atom_site_label
_atom_site_type_symbol
_atom_site_fract_x
_atom_site_fract_y
_atom_site_fract_z
Tb1 Tb 0.000 0.000 0.000
Pm1 Pm 0.500 0.500 0.292
Ho1 Ho 0.000 0.000 0.582
Ag1 Ag 0.500 0.500 0.786
```

Properties
- final energy (eV per atom) = -4.337
- ΔH_f (0 K) (eV per atom) = -0.1341
- theoretical density (g/cm3) = 8.35
- relative energy among the computed polymorphs (meV per atom) = 0.0



Density functional theory data (PBE-GGA) for a geometry-optimized ReAsBr structure.

```
data_ReAsBr
_space_group_name_H-M_alt 'F -4 3 m'
_space_group_IT_number 216
_space_group_name_Hall 'F -4 2 3'
_cell_length_a 6.240
_cell_length_b 6.240
_cell_length_c 6.240
_cell_angle_alpha 90.00
_cell_angle_beta 90.00
_cell_angle_gamma 90.00
loop_
_atom_site_label
_atom_site_type_symbol
_atom_site_fract_x
_atom_site_fract_y
_atom_site_fract_z
Re1 Re 0.000 0.000 0.000
As1 As 0.250 0.250 0.250
Br1 Br 0.000 0.000 0.500
```

Properties
- raw formation energy (eV per atom) = 1.50
- final energy (eV per atom) = -4.759
- theoretical density (g/cm3) = 9.32
- relative energy among the computed polymorphs (meV per atom) = 1165.2



Density functional theory data (PBE-GGA) for a geometry-optimized P3C structure.

```
data_P3C
_space_group_name_H-M_alt 'C 1 2/m 1'
_space_group_IT_number 12
_space_group_name_Hall '-C 2y'
_cell_length_a 6.730
_cell_length_b 2.754
_cell_length_c 6.299
_cell_angle_alpha 90.00
_cell_angle_beta 114.63
_cell_angle_gamma 90.00
loop_
_atom_site_label
_atom_site_type_symbol
_atom_site_fract_x
_atom_site_fract_y
_atom_site_fract_z
P1 P 0.000 0.000 0.000
P2 P 0.151 0.000 0.714
C1 C 0.000 0.500 0.500
```

Properties
- final energy (eV per atom) = -5.492
- ΔH_f (0 K) (eV per atom) = 0.8715
- theoretical density (g/cm3) = 3.28
- relative energy among the computed polymorphs (meV per atom) = 463.2



Density functional theory data (PBE-GGA) for a geometry-optimized Sm3Pd2Rh2 structure.

```
data_Sm3Pd2Rh2
_space_group_name_H-M_alt 'P -1'
_space_group_IT_number 2
_space_group_name_Hall '-P 1'
_cell_length_a 3.941
_cell_length_b 5.439
_cell_length_c 7.632
_cell_angle_alpha 83.53
_cell_angle_beta 89.97
_cell_angle_gamma 68.84
loop_
_atom_site_label
_atom_site_type_symbol
_atom_site_fract_x
_atom_site_fract_y
_atom_site_fract_z
Sm1 Sm 0.000 0.000 0.000
Sm2 Sm 0.355 0.292 0.322
Pd1 Pd 0.081 0.839 0.370
Rh1 Rh 0.304 0.390 0.879
```

Properties
- final energy (eV per atom) = -6.282
- ΔH_f (0 K) (eV per atom) = -0.6759
- theoretical density (g/cm3) = 9.54



Density functional theory data (PBE-GGA) for a geometry-optimized NbTeI2N structure.

```
data_NbTeI2N
_space_group_name_H-M_alt 'P 4/m m m'
_space_group_IT_number 123
_space_group_name_Hall '-P 4 2'
_cell_length_a 5.694
_cell_length_b 5.694
_cell_length_c 5.368
_cell_angle_alpha 90.00
_cell_angle_beta 90.00
_cell_angle_gamma 90.00
loop_
_atom_site_label
_atom_site_type_symbol
_atom_site_fract_x
_atom_site_fract_y
_atom_site_fract_z
Nb1 Nb 0.000 0.000 0.000
Te1 Te 0.000 0.000 0.500
I1 I 0.000 0.500 0.000
N1 N 0.500 0.500 0.500
```

Properties
- raw formation energy (eV per atom) = 0.97
- final energy (eV per atom) = -3.956
- theoretical density (g/cm3) = 4.66
- relative energy among the computed polymorphs (meV per atom) = 696.0



Density functional theory data (PBE-GGA) for a geometry-optimized TaNiOs2 structure.

```
data_TaNiOs2
_space_group_name_H-M_alt 'R 3 m'
_space_group_IT_number 160
_space_group_name_Hall 'R 3 -2"'
_cell_length_a 2.7531
_cell_length_b 2.7531
_cell_length_c 26.7527
_cell_angle_alpha 90.00
_cell_angle_beta 90.00
_cell_angle_gamma 120.00
loop_
_atom_site_label
_atom_site_type_symbol
_atom_site_fract_x
_atom_site_fract_y
_atom_site_fract_z
Ta1 Ta 0.0000 0.0000 0.0000
Ni1 Ni 0.0000 0.0000 0.7492
Os1 Os 0.0000 0.0000 0.2425
Os2 Os 0.0000 0.0000 0.4954
```

Properties
- final energy (eV per atom) = -9.877
- ΔH_f (0 K) (eV per atom) = 0.1465
- theoretical density (g/cm3) = 17.59